The following is a PBE calculation of a geometry-optimized Zn3MoSe structure, from the Alexandria database.

energy relative to the lowest polymorph listed for this composition: 67 meV per atom
E: -12.38 eV per formula unit
ΔE_f (raw): 1.1506 eV/atom

abc: 4.876 4.876 4.876
angles: 90.00 90.00 90.00
Fractional positions:
1 Mo 0.500 0.500 0.500
2 Zn 0.000 0.500 0.000
3 Zn 0.000 0.000 0.500
4 Zn 0.500 0.000 0.000
5 Se 0.000 0.000 0.000